This record from OQMD describes a geometry-optimized ScTaNi2Pt4 structure. The functional is PBE.

abc: 4.440 5.545 4.876
angles: 90.00 90.00 90.00
Element x y z (fractional)
Ni 0.500 0.000 0.189
Ni 0.000 0.500 0.826
Sc 0.000 0.000 0.839
Pt 0.500 0.745 0.674
Pt 0.500 0.255 0.674
Pt 0.000 0.751 0.322
Pt 0.000 0.249 0.322
Ta 0.500 0.500 0.154

Energy of formation, meV/atom: -749
Energy, eV per atom: -7.44